No. 1
First-principles (GGA+U) data for a relaxed structure of KBa2VO4, as listed in Alexandria via LeMat-Bulk.

The calculation puts the total energy at -98.508 eV for the cell shown.

The structure belongs to space group I-42m (No. 121); the cell edges are 6.2579, 6.2579 and 8.5390 Å and the angles 90.00°, 90.00° and 90.00°. The inequivalent atoms are K at (0.0000, 0.0000, 0.0000), Ba at (0.0000, 0.5000, 0.2500), V at (0.0000, 0.0000, 0.5000) and O at (0.1976, 0.1976, 0.3985).

No. 2
First-principles (GGA+U) data for a relaxed structure of K3BaV2O8, as listed in Alexandria via LeMat-Bulk.

The density of states at the Fermi level is 13.1 states/eV/cell. The calculation puts the total energy at -87.764 eV for the cell shown.

The structure belongs to space group P-3m1 (No. 164); the cell edges are 6.2693, 6.2693 and 8.3364 Å and the angles 90.00°, 90.00° and 120.00°. The inequivalent atoms are K at (0.0000, 0.0000, 0.0000), K at (0.3333, 0.6667, 0.7099), Ba at (0.0000, 0.0000, 0.5000), V at (0.3333, 0.6667, 0.2206), O at (0.1817, 0.3635, 0.2909) and O at (0.3333, 0.6667, 0.0137).

No. 3
First-principles (GGA+U) data for a relaxed structure of K3Ba2WO6, as listed in Alexandria via LeMat-Bulk.

The calculation puts the total energy at -137.147 eV for the cell shown.

The structure belongs to space group C2/m (No. 12); the cell edges are 6.4446, 11.3426 and 6.5568 Å and the angles 90.00°, 109.17° and 90.00°. The inequivalent atoms are K at (0.0000, 0.0000, 0.0000), K at (0.0000, 0.3505, 0.0000), Ba at (0.0000, 0.1669, 0.5000), W at (0.0000, 0.5000, 0.5000), O at (0.1895, 0.3701, 0.6888) and O at (0.2096, 0.5000, 0.3125).

No. 4
First-principles (GGA+U) data for a relaxed structure of KBaW2O8, as listed in Alexandria via LeMat-Bulk.

The density of states at the Fermi level is 26.5 states/eV/cell. The calculation puts the total energy at -162.746 eV for the cell shown.

The structure belongs to space group I-4m2 (No. 119); the cell edges are 8.1718, 8.1718 and 7.3840 Å and the angles 90.00°, 90.00° and 90.00°. The inequivalent atoms are K at (0.0000, 0.0000, 0.0000), Ba at (0.0000, 0.5000, 0.2500), W at (0.0000, 0.0000, 0.5000), W at (0.0000, 0.5000, 0.7500), O at (0.0000, 0.1800, 0.3553) and O at (0.0000, 0.3241, 0.9011).

No. 5
First-principles (GGA+U) data for a relaxed structure of K2BaWO4, as listed in Alexandria via LeMat-Bulk.

The density of states at the Fermi level is 0.0 states/eV/cell. The calculation puts the total energy at -94.330 eV for the cell shown.

The structure belongs to space group I-4 (No. 82); the cell edges are 6.4323, 6.4323 and 7.4912 Å and the angles 90.00°, 90.00° and 90.00°. The inequivalent atoms are K at (0.0000, 0.0000, 0.0000), K at (0.0000, 0.5000, 0.2500), Ba at (0.0000, 0.0000, 0.5000), W at (0.0000, 0.5000, 0.7500) and O at (0.1951, 0.2752, 0.7256).

No. 6
First-principles (GGA+U) data for a relaxed structure of KBaWO2, as listed in Alexandria via LeMat-Bulk.

The density of states at the Fermi level is 5.7 states/eV/cell. The calculation puts the total energy at -16.900 eV for the cell shown.

The structure belongs to space group P4/mmm (No. 123); the cell edges are 5.0668, 5.0668 and 5.4942 Å and the angles 90.00°, 90.00° and 90.00°. The inequivalent atoms are K at (0.0000, 0.0000, 0.0000), Ba at (0.5000, 0.5000, 0.5000), W at (0.0000, 0.0000, 0.5000) and O at (0.0000, 0.5000, 0.0000).

No. 7
First-principles (GGA+U) data for a relaxed structure of KBa2WO5, as listed in Alexandria via LeMat-Bulk.

The density of states at the Fermi level is 0.0 states/eV/cell. The calculation puts the total energy at -115.288 eV for the cell shown.

The structure belongs to space group Immm (No. 71); the cell edges are 4.1342, 6.5346 and 12.1197 Å and the angles 90.00°, 90.00° and 90.00°. The inequivalent atoms are K at (0.0000, 0.0000, 0.0000), Ba at (0.0000, 0.5000, 0.2229), W at (0.0000, 0.0000, 0.5000), O at (0.0000, 0.2152, 0.3802) and O at (0.0000, 0.5000, 0.0000).

Values of theoretical density, in order: 4.3, 2.8, 4.9, 4.5, 5.0, 4.6, 5.9, all in g/cm³.